No. 1
Cs2CdSnF6 after structural relaxation, computed with PBE-GGA.

raw formation energy: -2473 meV per atom
M_tot: 0.000 μB/atom

Cell and atoms, written as CIF:
```
data_Cs2CdSnF6
_chemical_formula_sum 'Cs2 Cd1 Sn1 F6'
_symmetry_space_group_name_H-M 'P 1'
_symmetry_Int_Tables_number 1
_symmetry_space_group_name_Hall 'P 1'
_cell_length_a 6.612
_cell_length_b 6.612
_cell_length_c 6.613
_cell_angle_alpha 60.00
_cell_angle_beta 60.00
_cell_angle_gamma 90.00
loop_
_atom_site_label
_atom_site_fract_x
_atom_site_fract_y
_atom_site_fract_z
Sn1 0.000 0.000 0.000
Cd1 0.500 0.500 0.000
F1 0.744 0.744 0.000
Cs1 0.250 0.750 0.500
F2 0.256 0.744 0.000
F3 0.744 0.256 0.000
Cs2 0.750 0.250 0.500
F4 0.256 0.256 0.000
F5 0.744 0.744 0.512
F6 0.256 0.256 0.488
```



No. 2
Cs2CdSnF6 after structural relaxation, computed with PBE-GGA.

raw formation energy: -2466 meV per atom
M_tot: 0.000 μB/atom

Cell and atoms, written as CIF:
```
data_Cs2CdSnF6
_chemical_formula_sum 'Cs2 Cd1 Sn1 F6'
_symmetry_space_group_name_H-M 'P 1'
_symmetry_Int_Tables_number 1
_symmetry_space_group_name_Hall 'P 1'
_cell_length_a 4.693
_cell_length_b 4.693
_cell_length_c 9.332
_cell_angle_alpha 90.00
_cell_angle_beta 90.00
_cell_angle_gamma 90.00
loop_
_atom_site_label
_atom_site_fract_x
_atom_site_fract_y
_atom_site_fract_z
F1 0.500 0.000 0.000
F2 0.500 0.500 0.261
Sn1 0.500 0.500 0.000
Cd1 0.500 0.500 0.500
F3 0.000 0.500 0.000
F4 0.000 0.500 0.500
F5 0.500 0.500 0.739
Cs1 0.000 0.000 0.262
F6 0.500 0.000 0.500
Cs2 0.000 0.000 0.738
```



> Number 2 is which compound?

Cs2CdSnF6



> What is the raw formation energy in the second record?

-2466 meV per atom